Below is a relaxed structure of LaAs2SBr, with properties calculated at the PBE level.

Calculated values
V	202.7	Å³/cell
total energy	-17.66	eV per formula unit
total magnetic moment	3.72	μB/f.u.
uncorrected formation energy	0.474	eV/atom
E above lowest polymorph	0.753	eV per atom

```
data_LaAs2SBr
_cell_length_a 5.931
_cell_length_b 5.931
_cell_length_c 5.761
_cell_angle_alpha 90.00
_cell_angle_beta 90.00
_cell_angle_gamma 90.00
_symmetry_space_group_name_H-M 'P 4/m m m'
_symmetry_Int_Tables_number 123
_symmetry_space_group_name_Hall '-P 4 2'
loop_
_atom_site_label
_atom_site_fract_x
_atom_site_fract_y
_atom_site_fract_z
La1 0.000 0.000 0.000
As1 0.000 0.500 0.000
S1 0.500 0.500 0.500
Br1 0.000 0.000 0.500
```